(1)
NiN | PBE | optimized geometry

Unit cell a=3.052 b=3.052 c=3.052 alpha=60.00 beta=60.00 gamma=60.00
Element x y z (fractional)
Ni 0.000 0.000 0.000
N 0.250 0.250 0.250

Values from the calculation:
space group = F-43m
magnetization = 0.00 μB/f.u.
formation energy from raw total energies = 0.87 eV per formula unit
energy relative to the lowest polymorph listed for this composition = 191 meV per atom

=====

(2)
NiN | PBE | optimized geometry

Unit cell a=3.274 b=5.168 c=5.193 alpha=90.00 beta=110.83 gamma=90.00
Element x y z (fractional)
Ni 0.154 0.746 0.133
Ni 0.154 0.254 0.133
Ni 0.154 0.246 0.633
Ni 0.154 0.754 0.633
N 0.742 0.627 0.301
N 0.742 0.373 0.301
N 0.742 0.127 0.801
N 0.742 0.873 0.801

Values from the calculation:
space group = Cm
magnetization = 0.00 μB/f.u.
formation energy from raw total energies = 0.81 eV per formula unit
energy relative to the lowest polymorph listed for this composition = 158 meV per atom